# 1
ErAl2Fe: relaxed, GGA-PBE.

Unit cell a=3.032 b=3.032 c=7.227 alpha=90.00 beta=90.00 gamma=90.00
Space group P4/mmm (No. 123)
Asymmetric unit:
Er 0.000 0.000 0.000 [1 per cell]
Al 0.500 0.500 0.317 [2 per cell]
Fe 0.000 0.000 0.500 [1 per cell]

Properties
As for the formation energy from the elements: -0.278 eV/atom.



# 2
PmYHoAg: relaxed, GGA-PBE.

Unit cell a=3.623 b=3.623 c=8.726 alpha=90.00 beta=90.00 gamma=90.00
Space group P4mm (No. 99)
Asymmetric unit:
Pm 0.000 0.000 0.000 [1 per cell]
Y 0.500 0.500 0.706 [1 per cell]
Ho 0.500 0.500 0.289 [1 per cell]
Ag 0.000 0.000 0.493 [1 per cell]

Properties
As for the formation energy from the elements: -0.136 eV/atom.



# 3
Co2GePd: relaxed, GGA-PBE.

Unit cell a=3.584 b=3.584 c=17.863 alpha=90.00 beta=90.00 gamma=90.00
Space group I-42d (No. 122)
Asymmetric unit:
Co 0.207 0.250 0.125 [8 per cell]
Ge 0.000 0.000 0.000 [4 per cell]
Pd 0.000 0.000 0.500 [4 per cell]

Properties
As for the formation energy from the elements: 0.241 eV/atom.



# 4
Hg4PbSe: relaxed, GGA-PBE.

Unit cell a=8.660 b=8.660 c=8.660 alpha=90.00 beta=90.00 gamma=90.00
Space group F-43m (No. 216)
Asymmetric unit:
Hg 0.125 0.125 0.125 [16 per cell]
Pb 0.250 0.250 0.750 [4 per cell]
Se 0.000 0.000 0.500 [4 per cell]

Properties
As for the formation energy without anion corrections: 1.016 eV per formula unit.



# 5
TcAsCl2: relaxed, GGA-PBE.

Unit cell a=5.837 b=8.654 c=4.201 alpha=90.00 beta=133.22 gamma=90.00
Space group C2/m (No. 12)
Asymmetric unit:
Tc 0.000 0.000 0.000 [2 per cell]
As 0.000 0.500 0.000 [2 per cell]
Cl 0.250 0.250 0.500 [4 per cell]

Properties
As for the formation energy without anion corrections: 1.962 eV per formula unit.



# 6
LiAl6Pd5: relaxed, GGA-PBE.

Unit cell a=4.327 b=6.156 c=6.855 alpha=90.00 beta=108.13 gamma=90.00
Space group P2/m (No. 10)
Asymmetric unit:
Li 0.000 0.000 0.000 [1 per cell]
Al 0.167 0.248 0.335 [4 per cell]
Al 0.500 0.253 0.000 [2 per cell]
Pd 0.000 0.500 0.000 [1 per cell]
Pd 0.332 0.500 0.664 [2 per cell]
Pd 0.340 0.000 0.678 [2 per cell]

Properties
As for the formation energy from the elements: -0.782 eV/atom.



# 7
Sr2MgZn4Au3: relaxed, GGA-PBE.

Unit cell a=4.348 b=4.348 c=11.753 alpha=90.00 beta=90.00 gamma=90.00
Space group P-4m2 (No. 115)
Asymmetric unit:
Sr 0.000 0.500 0.240 [2 per cell]
Mg 0.000 0.000 0.500 [1 per cell]
Zn 0.000 0.000 0.000 [1 per cell]
Zn 0.000 0.500 0.642 [2 per cell]
Zn 0.500 0.500 0.000 [1 per cell]
Au 0.000 0.500 0.866 [2 per cell]
Au 0.500 0.500 0.500 [1 per cell]

Properties
As for the formation energy from the elements: -0.458 eV/atom.



# 8
Nd5Cu2Pt: relaxed, GGA-PBE.

Unit cell a=7.250 b=7.250 c=16.058 alpha=90.00 beta=90.00 gamma=90.00
Space group I4/mcm (No. 140)
Asymmetric unit:
Nd 0.000 0.000 0.000 [4 per cell]
Nd 0.172 0.328 0.151 [16 per cell]
Cu 0.119 0.381 0.500 [8 per cell]
Pt 0.000 0.000 0.250 [4 per cell]

Properties
As for the formation energy from the elements: -0.352 eV/atom.